(1)
Here is a relaxed structure of Dy6GaTc2 from Alexandria. Energies are from PBE.

Results
calculated formation energy: -175 kJ/mol of formula units
density: 8.97 g/cm3

Lattice parameters (Å, degrees): 9.3809 9.4623 10.3451 90.00 90.00 90.00
Space group Immm (No. 71)
Inequivalent atoms, fractional coordinates:
1 Dy 0.0000 0.1871 0.1670 [8 per cell]
2 Dy 0.1832 0.2257 0.5000 [8 per cell]
3 Dy 0.1971 0.5000 0.2518 [8 per cell]
4 Ga 0.0000 0.5000 0.0000 [2 per cell]
5 Ga 0.0000 0.5000 0.5000 [2 per cell]
6 Tc 0.0000 0.0000 0.3852 [4 per cell]
7 Tc 0.1817 0.0000 0.0000 [4 per cell]

***

(2)
Here is a relaxed structure of YMnAl2 from Alexandria. Energies are from PBE.

Results
calculated formation energy: -37 kJ/mol of formula units
density: 4.21 g/cm3

Lattice parameters (Å, degrees): 4.3012 3.1532 11.5176 90.00 90.00 90.00
Space group Amm2 (No. 38)
Inequivalent atoms, fractional coordinates:
1 Y 0.0000 0.0000 0.0000 [2 per cell]
2 Mn 0.5000 0.0000 0.3165 [2 per cell]
3 Al 0.0000 0.0000 0.7456 [2 per cell]
4 Al 0.5000 0.0000 0.6185 [2 per cell]

***

(3)
Here is a relaxed structure of Tm2MgPt3 from Alexandria. Energies are from PBE.

Results
calculated formation energy: -665 kJ/mol of formula units
density: 13.66 g/cm3

Lattice parameters (Å, degrees): 4.7832 4.7832 11.6254 90.00 90.00 120.00
Space group P-3m1 (No. 164)
Inequivalent atoms, fractional coordinates:
1 Tm 0.0000 0.0000 0.0000 [1 per cell]
2 Tm 0.0000 0.0000 0.5000 [1 per cell]
3 Tm 0.3333 0.6667 0.1775 [2 per cell]
4 Mg 0.3333 0.6667 0.6646 [2 per cell]
5 Pt 0.0000 0.0000 0.2502 [2 per cell]
6 Pt 0.3333 0.6667 0.4228 [2 per cell]
7 Pt 0.3333 0.6667 0.9151 [2 per cell]

***

(4)
Here is a relaxed structure of BiPHNO from Alexandria. Energies are from PBE.

Results
E above lowest polymorph: 0 meV per atom
density: 5.22 g/cm3

Lattice parameters (Å, degrees): 2.8965 4.7137 6.5990 76.75 79.30 89.54
Space group P1 (No. 1)
Inequivalent atoms, fractional coordinates:
1 Bi 0.0000 0.0000 0.0000 [1 per cell]
2 P 0.1786 0.1304 0.5677 [1 per cell]
3 H 0.7031 0.5436 0.4922 [1 per cell]
4 N 0.7150 0.3293 0.4759 [1 per cell]
5 O 0.2175 0.8600 0.4810 [1 per cell]

***

(5)
Here is a relaxed structure of Ho3Pu3CuS8 from Alexandria. Energies are from PBE.

Results
uncorrected energy: -7.90 eV/atom
density: 7.69 g/cm3

Lattice parameters (Å, degrees): 7.7798 7.7860 7.7898 60.04 60.05 90.00
Space group P-1 (No. 2)
Inequivalent atoms, fractional coordinates:
1 Ho 0.0000 0.0000 0.0000 [1 per cell]
2 Ho 0.0000 0.0000 0.5000 [1 per cell]
3 Ho 0.5000 0.0000 0.0000 [1 per cell]
4 Pu 0.0000 0.5000 0.0000 [1 per cell]
5 Pu 0.5000 0.5000 0.0000 [1 per cell]
6 Pu 0.5000 0.5000 0.5000 [1 per cell]
7 Cu 0.5000 0.0000 0.5000 [1 per cell]
8 S 0.2479 0.2446 0.0042 [2 per cell]
9 S 0.2532 0.2368 0.5056 [2 per cell]
10 S 0.2530 0.7551 0.9941 [2 per cell]
11 S 0.2598 0.7641 0.4944 [2 per cell]

***

(6)
Here is a relaxed structure of PuHg15 from Alexandria. Energies are from PBE.

Results
calculated formation energy: -25 kJ/mol of formula units
density: 12.64 g/cm3

Lattice parameters (Å, degrees): 6.7383 6.7383 10.8637 90.00 90.00 120.00
Space group P-6m2 (No. 187)
Inequivalent atoms, fractional coordinates:
1 Pu 0.0000 0.0000 0.0000 [1 per cell]
2 Hg 0.0000 0.0000 0.5000 [1 per cell]
3 Hg 0.0101 0.5051 0.0000 [3 per cell]
4 Hg 0.3333 0.6667 0.2660 [2 per cell]
5 Hg 0.3348 0.1674 0.2445 [6 per cell]
6 Hg 0.5058 0.0116 0.5000 [3 per cell]

***

N(E_F) readings, ordered: 0.94; 0.74; 0.53; 0.13; 2.28; 1.33 states/eV per atom